Below is a relaxed SrPmCr2O8 crystal, with properties calculated at the GGA+U level.

a = 7.463 Å, b = 7.463 Å, c = 6.492 Å
α = 90.00°, β = 90.00°, γ = 90.00°
Space group I-4m2 (No. 119)
One atom of each set of equivalent atoms:
Sr1 0.000 0.000 0.000 (multiplicity 2)
Pm1 0.000 0.500 0.750 (multiplicity 2)
Cr1 0.000 0.000 0.500 (multiplicity 2)
Cr2 0.000 0.500 0.250 (multiplicity 2)
O1 0.000 0.187 0.658 (multiplicity 8)
O2 0.000 0.327 0.089 (multiplicity 8)

Calculated values
mass density = 4.3 g/cm3
uncorrected energy = -7.219 eV per atom
Fermi-level density of states = 0.07 states/eV/atom